Compound: TaAgMo2
Source: the Alexandria database
Functional: PBE-GGA
Structure: optimized geometry

For the distance to the lowest polymorph of the same formula, the calculation gives 158.2 meV per atom.

Structure (CIF):
```
data_TaAgMo2
_chemical_formula_sum 'Ta1 Ag1 Mo2'
_symmetry_space_group_name_H-M 'P 4/m m m'
_symmetry_Int_Tables_number 123
_symmetry_space_group_name_Hall '-P 4 2'
_cell_length_a 3.961
_cell_length_b 3.961
_cell_length_c 4.244
_cell_angle_alpha 90.00
_cell_angle_beta 90.00
_cell_angle_gamma 90.00
loop_
_atom_site_label
_atom_site_type_symbol
_atom_site_fract_x
_atom_site_fract_y
_atom_site_fract_z
Ta1 Ta 0.000 0.000 0.000
Ag1 Ag 0.500 0.500 0.000
Mo1 Mo 0.000 0.500 0.500
```

Compound: Tb2YAlO
Source: the Alexandria database
Functional: PBE-GGA
Structure: optimized geometry

Structure (CIF):
```
data_Tb2YAlO
_chemical_formula_sum 'Tb2 Y1 Al1 O1'
_symmetry_space_group_name_H-M 'P 4/m m m'
_symmetry_Int_Tables_number 123
_symmetry_space_group_name_Hall '-P 4 2'
_cell_length_a 4.751
_cell_length_b 4.751
_cell_length_c 4.745
_cell_angle_alpha 90.00
_cell_angle_beta 90.00
_cell_angle_gamma 90.00
loop_
_atom_site_label
_atom_site_type_symbol
_atom_site_fract_x
_atom_site_fract_y
_atom_site_fract_z
Tb1 Tb 0.000 0.500 0.000
Y1 Y 0.000 0.000 0.500
Al1 Al 0.500 0.500 0.500
O1 O 0.000 0.000 0.000
```

Compound: SrHfTc2
Source: the Alexandria database
Functional: PBE-GGA
Structure: optimized geometry

For the distance to the lowest polymorph of the same formula, the calculation gives 0.0 meV per atom.

Structure (CIF):
```
data_SrHfTc2
_chemical_formula_sum 'Sr4 Hf4 Tc8'
_symmetry_space_group_name_H-M 'F m -3 m'
_symmetry_Int_Tables_number 225
_symmetry_space_group_name_Hall '-F 4 2 3'
_cell_length_a 6.799
_cell_length_b 6.799
_cell_length_c 6.799
_cell_angle_alpha 90.00
_cell_angle_beta 90.00
_cell_angle_gamma 90.00
loop_
_atom_site_label
_atom_site_type_symbol
_atom_site_fract_x
_atom_site_fract_y
_atom_site_fract_z
Sr1 Sr 0.000 0.000 0.000
Hf1 Hf 0.000 0.000 0.500
Tc1 Tc 0.250 0.250 0.250
```

Compound: Zr2HgSe2
Source: the Alexandria database
Functional: PBE-GGA
Structure: optimized geometry

For the distance to the lowest polymorph of the same formula, the calculation gives 146.2 meV per atom.

Structure (CIF):
```
data_Zr2HgSe2
_chemical_formula_sum 'Zr4 Hg2 Se4'
_symmetry_space_group_name_H-M 'P 4/m b m'
_symmetry_Int_Tables_number 127
_symmetry_space_group_name_Hall '-P 4 2ab'
_cell_length_a 7.896
_cell_length_b 7.896
_cell_length_c 3.355
_cell_angle_alpha 90.00
_cell_angle_beta 90.00
_cell_angle_gamma 90.00
loop_
_atom_site_label
_atom_site_type_symbol
_atom_site_fract_x
_atom_site_fract_y
_atom_site_fract_z
Zr1 Zr 0.151 0.349 0.000
Hg1 Hg 0.000 0.000 0.500
Se1 Se 0.137 0.637 0.500
```

Compound: Cs2H3I6
Source: the Alexandria database
Functional: PBE-GGA
Structure: optimized geometry

Structure (CIF):
```
data_Cs2H3I6
_chemical_formula_sum 'Cs4 H6 I12'
_symmetry_space_group_name_H-M 'C 1 2/m 1'
_symmetry_Int_Tables_number 12
_cell_length_a 24.011
_cell_length_b 6.935
_cell_length_c 7.229
_cell_angle_alpha 90.00
_cell_angle_beta 98.01
_cell_angle_gamma 90.00
loop_
_symmetry_equiv_pos_as_xyz
'x,y,z'
'-x,-y,-z'
'-x,y,-z'
'x,-y,z'
'x+1/2,y+1/2,z'
'-x+1/2,-y+1/2,-z'
'-x+1/2,y+1/2,-z'
'x+1/2,-y+1/2,z'
loop_
_atom_site_label
_atom_site_type_symbol
_atom_site_fract_x
_atom_site_fract_y
_atom_site_fract_z
Cs1 Cs 0.149 0.000 0.072
H1 H 0.000 0.000 0.500
H2 H 0.185 0.500 0.582
I1 I 0.000 0.000 0.236
I2 I 0.184 0.500 0.849
I3 I 0.188 0.500 0.325
```

Compound: MnGaCu2S4
Source: the Alexandria database
Functional: PBE-GGA
Structure: optimized geometry

Structure (CIF):
```
data_MnGaCu2S4
_chemical_formula_sum 'Mn2 Ga2 Cu4 S8'
_symmetry_space_group_name_H-M 'I -4 2 m'
_symmetry_Int_Tables_number 121
_symmetry_space_group_name_Hall 'I -4 2'
_cell_length_a 5.366
_cell_length_b 5.366
_cell_length_c 10.599
_cell_angle_alpha 90.00
_cell_angle_beta 90.00
_cell_angle_gamma 90.00
loop_
_atom_site_label
_atom_site_type_symbol
_atom_site_fract_x
_atom_site_fract_y
_atom_site_fract_z
Mn1 Mn 0.000 0.000 0.000
Ga1 Ga 0.000 0.000 0.500
Cu1 Cu 0.000 0.500 0.250
S1 S 0.248 0.248 0.628
```

Compound: Ca2AlTe
Source: the Alexandria database
Functional: PBE-GGA
Structure: optimized geometry

For the distance to the lowest polymorph of the same formula, the calculation gives 70.4 meV per atom.

Structure (CIF):
```
data_Ca2AlTe
_chemical_formula_sum 'Ca4 Al2 Te2'
_symmetry_space_group_name_H-M 'C m m m'
_symmetry_Int_Tables_number 65
_symmetry_space_group_name_Hall '-C 2 2'
_cell_length_a 6.814
_cell_length_b 8.610
_cell_length_c 3.822
_cell_angle_alpha 90.00
_cell_angle_beta 90.00
_cell_angle_gamma 90.00
loop_
_atom_site_label
_atom_site_type_symbol
_atom_site_fract_x
_atom_site_fract_y
_atom_site_fract_z
Ca1 Ca 0.250 0.250 0.000
Al1 Al 0.000 0.000 0.500
Te1 Te 0.000 0.500 0.500
```

Compound: BaAlHg2
Source: the Alexandria database
Functional: PBE-GGA
Structure: optimized geometry

Structure (CIF):
```
data_BaAlHg2
_chemical_formula_sum 'Ba2 Al2 Hg4'
_symmetry_space_group_name_H-M 'C 1 2/m 1'
_symmetry_Int_Tables_number 12
_cell_length_a 6.950
_cell_length_b 10.736
_cell_length_c 3.718
_cell_angle_alpha 90.00
_cell_angle_beta 116.33
_cell_angle_gamma 90.00
loop_
_symmetry_equiv_pos_as_xyz
'x,y,z'
'-x,-y,-z'
'-x,y,-z'
'x,-y,z'
'x+1/2,y+1/2,z'
'-x+1/2,-y+1/2,-z'
'-x+1/2,y+1/2,-z'
'x+1/2,-y+1/2,z'
loop_
_atom_site_label
_atom_site_type_symbol
_atom_site_fract_x
_atom_site_fract_y
_atom_site_fract_z
Ba1 Ba 0.000 0.000 0.000
Al1 Al 0.000 0.500 0.000
Hg1 Hg 0.250 0.250 0.500
```

| no. | total DFT energy (no corrections) (eV/atom) |
| --- | --- |
| 1 | -8.7616 |
| 2 | -6.2564 |
| 3 | -7.4726 |
| 4 | -5.5521 |
| 5 | -2.4391 |
| 6 | -5.1242 |
| 7 | -3.3391 |
| 8 | -1.5529 |